! SCAN OsPbCl, single point on PBEsol structure; values from VASP
! Relative energy among the computed polymorphs = 0.0 meV per atom
&SYSTEM
  ibrav = 0, nat = 3, ntyp = 3
/
ATOMIC_SPECIES
Pb 207.20 Pb.upf
Os 190.23 Os.upf
Cl 35.45 Cl.upf
CELL_PARAMETERS angstrom
2.965 0.000 0.000
1.483 2.760 0.000
1.483 0.000 7.554
ATOMIC_POSITIONS angstrom
Pb 1.483 0.000 2.779
Os 2.965 0.000 5.263
Cl 1.483 0.000 7.066


! SCAN Na2CaYGe, single point on PBEsol structure; values from VASP
! ΔH_f (0 K) = 0.055 eV/atom
&SYSTEM
  ibrav = 0, nat = 5, ntyp = 4
/
ATOMIC_SPECIES
Y 88.91 Y.upf
Na 22.99 Na.upf
Ge 72.64 Ge.upf
Ca 40.08 Ca.upf
CELL_PARAMETERS angstrom
-4.635 2.074 2.166
0.897 -2.846 4.644
2.892 4.297 2.074
ATOMIC_POSITIONS angstrom
Y 1.446 2.148 1.037
Na 0.448 -1.423 2.322
Na -2.317 1.037 1.083
Ge 0.000 0.000 0.000
Ca -0.423 1.762 4.442


! SCAN Be2HgRh, single point on PBEsol structure; values from VASP
! ΔH_f (0 K) = -0.162 eV/atom
&SYSTEM
  ibrav = 0, nat = 4, ntyp = 3
/
ATOMIC_SPECIES
Be 9.01 Be.upf
Rh 102.91 Rh.upf
Hg 200.59 Hg.upf
CELL_PARAMETERS angstrom
-1.624 2.311 0.427
-2.168 -0.991 -2.881
-1.861 -3.559 2.625
ATOMIC_POSITIONS angstrom
Be -2.553 -0.410 2.063
Be -2.907 -0.250 -0.153
Rh -3.176 -2.377 0.781
Hg -0.467 -0.420 0.496


| no. | magnetic moment (μB per formula unit) |
| --- | --- |
| 1 | 0.0 |
| 2 | 0.5 |
| 3 | 0.0 |